PmNd2Dy | PBE-GGA | optimized geometry

abc: 5.1355 5.1478 5.1478
angles: 90.00 90.00 90.00
Fractional coordinates of all 4 atoms:
Pm (0.5000, 0.0000, 0.0000)
Nd (0.0000, 0.0000, 0.5000)
Nd (0.0000, 0.5000, 0.0000)
Dy (0.5000, 0.5000, 0.5000)

Properties
DFT formation energy: 0.016 eV per atom
Excess energy over the best structure of this formula in the dataset: 3 meV per atom
E_tot: -4.706 eV per atom


Pm3Nd2Dy8 | PBE-GGA | optimized geometry

abc: 5.0826 8.0282 10.7436
angles: 85.73 103.65 90.04
Fractional coordinates of all 13 atoms:
Dy (0.3077, 0.5395, 0.6153)
Dy (0.1542, 0.7670, 0.3083)
Dy (0.3846, 0.9218, 0.7694)
Dy (0.6923, 0.4605, 0.3847)
Dy (0.6154, 0.0782, 0.2306)
Dy (0.0767, 0.3860, 0.1538)
Dy (0.8458, 0.2330, 0.6917)
Dy (0.9233, 0.6140, 0.8462)
Pm (0.4616, 0.3069, 0.9227)
Pm (0.0000, 0.0000, 0.0000)
Pm (0.5384, 0.6931, 0.0773)
Nd (0.7691, 0.8454, 0.5382)
Nd (0.2309, 0.1546, 0.4618)

Properties
DFT formation energy: 0.018 eV per atom
Excess energy over the best structure of this formula in the dataset: 0 meV per atom
E_tot: -4.644 eV per atom


Pm7Nd16Dy6 | PBE-GGA | optimized geometry

abc: 11.3900 11.3900 11.3900
angles: 60.00 60.00 60.00
Fractional coordinates of all 29 atoms:
Dy (0.2651, 0.2651, 0.7349)
Dy (0.7349, 0.2651, 0.2651)
Dy (0.7349, 0.2651, 0.7349)
Dy (0.2651, 0.7349, 0.2651)
Dy (0.7349, 0.7349, 0.2651)
Dy (0.2651, 0.7349, 0.7349)
Nd (0.6506, 0.6506, 0.6506)
Nd (0.1255, 0.6236, 0.1255)
Nd (0.8745, 0.8745, 0.8745)
Nd (0.3494, 0.3494, 0.9518)
Nd (0.3764, 0.8745, 0.8745)
Nd (0.9518, 0.3494, 0.3494)
Nd (0.1255, 0.1255, 0.1255)
Nd (0.6506, 0.0482, 0.6506)
Nd (0.3494, 0.9518, 0.3494)
Nd (0.8745, 0.3764, 0.8745)
Nd (0.6506, 0.6506, 0.0482)
Nd (0.0482, 0.6506, 0.6506)
Nd (0.6236, 0.1255, 0.1255)
Nd (0.3494, 0.3494, 0.3494)
Nd (0.1255, 0.1255, 0.6236)
Nd (0.8745, 0.8745, 0.3764)
Pm (0.5000, 0.0000, 0.5000)
Pm (0.0000, 0.5000, 0.5000)
Pm (0.0000, 0.0000, 0.5000)
Pm (0.5000, 0.0000, 0.0000)
Pm (0.5000, 0.5000, 0.0000)
Pm (0.0000, 0.5000, 0.0000)
Pm (0.0000, 0.0000, 0.0000)

Properties
DFT formation energy: 0.220 eV per atom
E_tot: -4.509 eV per atom


Pm2Nd8Dy3 | PBE-GGA | optimized geometry

abc: 5.7409 7.7261 11.0539
angles: 110.46 90.03 90.00
Fractional coordinates of all 13 atoms:
Nd (0.5002, 0.3991, 0.2086)
Nd (0.9994, 0.1307, 0.2613)
Nd (0.4998, 0.6009, 0.7914)
Nd (0.0009, 0.6712, 0.3424)
Nd (0.4998, 0.1905, 0.7914)
Nd (0.9991, 0.3288, 0.6576)
Nd (0.0006, 0.8693, 0.7387)
Nd (0.5002, 0.8095, 0.2086)
Dy (0.0000, 0.2850, 0.0000)
Dy (0.5000, 0.0000, 0.0000)
Dy (0.0000, 0.7150, 0.0000)
Pm (0.4987, 0.2402, 0.4805)
Pm (0.5013, 0.7598, 0.5195)

Properties
DFT formation energy: 0.202 eV per atom
Excess energy over the best structure of this formula in the dataset: 41 meV per atom
E_tot: -4.525 eV per atom


Pm3Nd6Dy | PBE-GGA | optimized geometry

abc: 7.1017 12.9956 6.7685
angles: 129.13 121.64 90.00
Fractional coordinates of all 10 atoms:
Nd (0.6668, 0.0070, 0.3336)
Nd (0.2828, 0.3113, 0.1106)
Nd (0.8278, 0.3113, 0.1106)
Nd (0.7172, 0.6887, 0.8894)
Nd (0.1722, 0.6887, 0.8894)
Nd (0.3332, 0.9930, 0.6664)
Dy (0.5000, 0.5000, 0.0000)
Pm (0.8039, 0.3417, 0.6078)
Pm (0.1961, 0.6583, 0.3922)
Pm (0.0000, 0.0000, 0.0000)

Properties
DFT formation energy: 0.256 eV per atom
Excess energy over the best structure of this formula in the dataset: 121 meV per atom
E_tot: -4.490 eV per atom


Pm3Nd4Dy5 | PBE-GGA | optimized geometry

abc: 5.9960 8.6359 9.7889
angles: 105.76 72.17 69.69
Site moments in Bohr magnetons follow the coordinates.
Fractional coordinates of all 12 atoms:
Dy (0.7847, 0.5435, 0.8872)  0.00
Dy (0.2153, 0.4565, 0.1128)  0.00
Dy (0.6263, 0.9454, 0.8020)  0.00
Dy (0.5000, 0.5000, 0.5000)  0.08
Dy (0.3737, 0.0546, 0.1980)  0.00
Pm (0.0000, 0.5000, 0.5000)  0.06
Pm (0.4774, 0.3128, 0.7324)  0.00
Pm (0.5226, 0.6872, 0.2676)  0.00
Nd (0.1699, 0.0414, 0.6187)  0.00
Nd (0.1392, 0.7769, 0.9447)  0.00
Nd (0.8608, 0.2231, 0.0553)  0.00
Nd (0.8301, 0.9586, 0.3813)  0.00

Properties
DFT formation energy: 0.215 eV per atom
Excess energy over the best structure of this formula in the dataset: 201 meV per atom
E_tot: -4.479 eV per atom


PmNd6Dy12 | PBE-GGA | optimized geometry

abc: 8.8929 8.8929 8.8929
angles: 100.10 100.10 100.10
Fractional coordinates of all 19 atoms:
Nd (0.2195, 0.7383, 0.2195)
Nd (0.2195, 0.2195, 0.7383)
Nd (0.7805, 0.2617, 0.7805)
Nd (0.7805, 0.7805, 0.2617)
Nd (0.7383, 0.2195, 0.2195)
Nd (0.2617, 0.7805, 0.7805)
Dy (0.8849, 0.5000, 0.1151)
Dy (0.8309, 0.5471, 0.5471)
Dy (0.1151, 0.8849, 0.5000)
Dy (0.8849, 0.1151, 0.5000)
Dy (0.1691, 0.4529, 0.4529)
Dy (0.5000, 0.8849, 0.1151)
Dy (0.4529, 0.1691, 0.4529)
Dy (0.4529, 0.4529, 0.1691)
Dy (0.5471, 0.5471, 0.8309)
Dy (0.5000, 0.1151, 0.8849)
Dy (0.1151, 0.5000, 0.8849)
Dy (0.5471, 0.8309, 0.5471)
Pm (0.0000, 0.0000, 0.0000)

Properties
DFT formation energy: 0.452 eV per atom
Excess energy over the best structure of this formula in the dataset: 241 meV per atom
E_tot: -4.210 eV per atom


PmNd10Dy6 | PBE-GGA | optimized geometry

abc: 6.9364 9.8753 9.8753
angles: 120.00 90.00 90.00
Fractional coordinates of all 17 atoms:
Nd (0.1828, 0.7243, 0.0000)
Nd (0.0000, 0.6667, 0.3333)
Nd (0.5000, 0.6667, 0.3333)
Nd (0.1828, 0.0000, 0.7243)
Nd (0.0000, 0.3333, 0.6667)
Nd (0.8172, 0.0000, 0.2757)
Nd (0.1828, 0.2757, 0.2757)
Nd (0.8172, 0.2757, 0.0000)
Nd (0.8172, 0.7243, 0.7243)
Nd (0.5000, 0.3333, 0.6667)
Pm (0.5000, 0.0000, 0.0000)
Dy (0.6918, 0.0000, 0.6285)
Dy (0.6918, 0.6285, 0.0000)
Dy (0.6918, 0.3715, 0.3715)
Dy (0.3082, 0.3715, 0.0000)
Dy (0.3082, 0.0000, 0.3715)
Dy (0.3082, 0.6285, 0.6285)

Properties
DFT formation energy: 0.129 eV per atom
E_tot: -4.579 eV per atom


Pm12NdDy7 | PBE-GGA | optimized geometry

abc: 9.4147 9.4147 9.4147
angles: 107.85 107.85 107.85
Fractional coordinates of all 20 atoms:
Nd (0.0000, 0.0000, 0.0000)
Pm (0.3294, 0.6238, 0.7767)
Pm (0.0498, 0.2970, 0.4077)
Pm (0.6706, 0.3762, 0.2233)
Pm (0.2970, 0.4077, 0.0498)
Pm (0.4077, 0.0498, 0.2970)
Pm (0.5923, 0.9502, 0.7030)
Pm (0.6238, 0.7767, 0.3294)
Pm (0.3762, 0.2233, 0.6706)
Pm (0.9502, 0.7030, 0.5923)
Pm (0.2233, 0.6706, 0.3762)
Pm (0.7030, 0.5923, 0.9502)
Pm (0.7767, 0.3294, 0.6238)
Dy (0.1051, 0.6792, 0.9910)
Dy (0.6792, 0.9910, 0.1051)
Dy (0.3208, 0.0090, 0.8949)
Dy (0.8949, 0.3208, 0.0090)
Dy (0.9910, 0.1051, 0.6792)
Dy (0.0090, 0.8949, 0.3208)
Dy (0.5000, 0.5000, 0.5000)

Properties
DFT formation energy: 0.156 eV per atom
Excess energy over the best structure of this formula in the dataset: 0 meV per atom
E_tot: -4.543 eV per atom


Pm2Nd3Dy | PBE-GGA | optimized geometry

abc: 11.3377 8.9715 8.9715
angles: 45.78 50.81 50.81
Fractional coordinates of all 12 atoms:
Nd (0.2350, 0.0150, 0.5150)
Nd (0.7650, 0.4850, 0.9850)
Nd (0.5000, 0.7500, 0.2500)
Nd (0.5000, 0.2500, 0.7500)
Nd (0.7650, 0.9850, 0.4850)
Nd (0.2350, 0.5150, 0.0150)
Pm (0.5469, 0.1979, 0.1979)
Pm (0.4531, 0.8021, 0.8021)
Pm (0.9427, 0.3021, 0.3021)
Pm (0.0573, 0.6979, 0.6979)
Dy (0.0000, 0.0000, 0.0000)
Dy (0.0000, 0.5000, 0.5000)

Properties
DFT formation energy: 0.551 eV per atom
Excess energy over the best structure of this formula in the dataset: 499 meV per atom
E_tot: -4.183 eV per atom


PmNd2Dy | PBE-GGA | optimized geometry

abc: 5.7832 5.7832 5.7832
angles: 60.00 60.00 60.00
Fractional coordinates of all 4 atoms:
Nd (0.2500, 0.2500, 0.2500)
Nd (0.7500, 0.7500, 0.7500)
Pm (0.5000, 0.5000, 0.5000)
Dy (0.0000, 0.0000, 0.0000)

Properties
DFT formation energy: 0.131 eV per atom
Excess energy over the best structure of this formula in the dataset: 118 meV per atom
E_tot: -4.591 eV per atom


Pm5Nd2Dy5 | PBE-GGA | optimized geometry

abc: 5.0986 8.0750 10.8374
angles: 72.68 76.39 71.60
Fractional coordinates of all 12 atoms:
Dy (0.8315, 0.8362, 0.5009)
Dy (0.0000, 0.0000, 0.0000)
Dy (0.7504, 0.2483, 0.2509)
Dy (0.2496, 0.7517, 0.7491)
Dy (0.1685, 0.1638, 0.4991)
Nd (0.0829, 0.5826, 0.2515)
Nd (0.9171, 0.4174, 0.7485)
Pm (0.5000, 0.5000, 0.5000)
Pm (0.4149, 0.9193, 0.2509)
Pm (0.3341, 0.3325, 0.9993)
Pm (0.6659, 0.6675, 0.0007)
Pm (0.5851, 0.0807, 0.7491)

Properties
DFT formation energy: 0.016 eV per atom
E_tot: -4.676 eV per atom


Pm6NdDy8 | PBE-GGA | optimized geometry

abc: 9.1260 9.1260 8.7145
angles: 58.43 58.43 60.00
Fractional coordinates of all 15 atoms:
Dy (0.2816, 0.8884, 0.5759)
Dy (0.7459, 0.7184, 0.4241)
Dy (0.4235, 0.4235, 0.7294)
Dy (0.1116, 0.7459, 0.4241)
Dy (0.5765, 0.5765, 0.2706)
Dy (0.2541, 0.2816, 0.5759)
Dy (0.8884, 0.2541, 0.5759)
Dy (0.7184, 0.1116, 0.4241)
Pm (0.4623, 0.8948, 0.8723)
Pm (0.5377, 0.1052, 0.1277)
Pm (0.2294, 0.5377, 0.1277)
Pm (0.8948, 0.7706, 0.8723)
Pm (0.7706, 0.4623, 0.8723)
Pm (0.1052, 0.2294, 0.1277)
Nd (0.0000, 0.0000, 0.0000)

Properties
DFT formation energy: 0.125 eV per atom
E_tot: -4.548 eV per atom


Pm2NdDy3 | PBE-GGA | optimized geometry

abc: 6.4205 8.1620 8.1620
angles: 71.52 90.00 90.00
Fractional coordinates of all 12 atoms:
Nd (0.7907, 0.8248, 0.8248)
Nd (0.2907, 0.1752, 0.1752)
Pm (0.5672, 0.7401, 0.3779)
Pm (0.5672, 0.3779, 0.7401)
Pm (0.0672, 0.6221, 0.2599)
Pm (0.0672, 0.2599, 0.6221)
Dy (0.3158, 0.9174, 0.9174)
Dy (0.8158, 0.0826, 0.0826)
Dy (0.1085, 0.5116, 0.8768)
Dy (0.1085, 0.8768, 0.5116)
Dy (0.6085, 0.1232, 0.4884)
Dy (0.6085, 0.4884, 0.1232)

Properties
DFT formation energy: 0.212 eV per atom
Excess energy over the best structure of this formula in the dataset: 92 meV per atom
E_tot: -4.468 eV per atom


Pm2Nd5Dy5 | PBE-GGA | optimized geometry

abc: 5.1065 8.0904 10.8659
angles: 72.76 76.40 71.60
Fractional coordinates of all 12 atoms:
Nd (0.1653, 0.1683, 0.5011)
Nd (0.7506, 0.2507, 0.2480)
Nd (0.0000, 0.0000, 0.0000)
Nd (0.8347, 0.8317, 0.4989)
Nd (0.2494, 0.7493, 0.7520)
Dy (0.6670, 0.6665, 0.9995)
Dy (0.5825, 0.0841, 0.7510)
Dy (0.4175, 0.9159, 0.2490)
Dy (0.5000, 0.5000, 0.5000)
Dy (0.3330, 0.3335, 0.0005)
Pm (0.9170, 0.4146, 0.7515)
Pm (0.0830, 0.5854, 0.2485)

Properties
DFT formation energy: 0.016 eV per atom
E_tot: -4.680 eV per atom


PmNdDy | PBE-GGA | optimized geometry

abc: 3.6441 3.6421 9.0721
angles: 78.25 89.98 59.97
Fractional coordinates of all 3 atoms:
Pm (0.6499, 0.1224, 0.2749)
Nd (0.0914, 0.2395, 0.6172)
Dy (0.8708, 0.6804, 0.9476)

Properties
DFT formation energy: 0.020 eV per atom
Excess energy over the best structure of this formula in the dataset: 6 meV per atom
E_tot: -4.687 eV per atom


Pm4Nd5Dy3 | PBE-GGA | optimized geometry

abc: 6.0138 8.7466 9.8261
angles: 106.14 72.18 69.89
Fractional coordinates of all 12 atoms:
Dy (0.4809, 0.3106, 0.7275)
Dy (0.5191, 0.6894, 0.2725)
Dy (0.0000, 0.5000, 0.5000)
Nd (0.7849, 0.5423, 0.8879)
Nd (0.2151, 0.4577, 0.1121)
Nd (0.3732, 0.0520, 0.2017)
Nd (0.6268, 0.9480, 0.7983)
Nd (0.5000, 0.5000, 0.5000)
Pm (0.8588, 0.2233, 0.0591)
Pm (0.1617, 0.0551, 0.6215)
Pm (0.8383, 0.9449, 0.3785)
Pm (0.1412, 0.7767, 0.9409)

Properties
DFT formation energy: 0.208 eV per atom
Excess energy over the best structure of this formula in the dataset: 195 meV per atom
E_tot: -4.512 eV per atom


Pm2Nd5Dy3 | PBE-GGA | optimized geometry

abc: 9.9804 10.0145 9.3234
angles: 108.74 108.58 113.78
Fractional coordinates of all 20 atoms:
Nd (0.0186, 0.2686, 0.5372)
Nd (0.9814, 0.7314, 0.4628)
Nd (0.3730, 0.1388, 0.7575)
Nd (0.5215, 0.7715, 0.5431)
Nd (0.1155, 0.3813, 0.2425)
Nd (0.6270, 0.8612, 0.2425)
Nd (0.2232, 0.4732, 0.9464)
Nd (0.7768, 0.5268, 0.0536)
Nd (0.8845, 0.6187, 0.7575)
Nd (0.4785, 0.2285, 0.4569)
Pm (0.7157, 0.2720, 0.2452)
Pm (0.2843, 0.7280, 0.7548)
Pm (0.0296, 0.9733, 0.2453)
Pm (0.9704, 0.0267, 0.7547)
Dy (0.2279, 0.7805, 0.2470)
Dy (0.4810, 0.5335, 0.7530)
Dy (0.5190, 0.4665, 0.2470)
Dy (0.2704, 0.0204, 0.0409)
Dy (0.7721, 0.2195, 0.7530)
Dy (0.7296, 0.9796, 0.9591)

Properties
DFT formation energy: 0.182 eV per atom
Excess energy over the best structure of this formula in the dataset: 0 meV per atom
E_tot: -4.533 eV per atom


Pm5Nd2Dy4 | PBE-GGA | optimized geometry

abc: 3.5414 9.1893 12.7740
angles: 111.08 97.97 90.00
Fractional coordinates of all 11 atoms:
Nd (0.7317, 0.7317, 0.4633)
Nd (0.2683, 0.2683, 0.5367)
Pm (0.8563, 0.6583, 0.7126)
Pm (0.5000, 0.0000, 0.0000)
Pm (0.1437, 0.3417, 0.2874)
Pm (0.1437, 0.9457, 0.2874)
Pm (0.8563, 0.0543, 0.7126)
Dy (0.0000, 0.3117, 0.0000)
Dy (0.5965, 0.5965, 0.1930)
Dy (0.4035, 0.4035, 0.8070)
Dy (0.0000, 0.6883, 0.0000)

Properties
DFT formation energy: 0.184 eV per atom
Excess energy over the best structure of this formula in the dataset: 43 meV per atom
E_tot: -4.516 eV per atom